Entry 1:
This record from Alexandria via LeMat-Bulk describes a crystal of CaMgAs3 relaxed with PBEsol. The functional is SCAN.

## Properties
Electronic total energy   -14.40 eV/atom
Spin magnetization   0.00 Bohr magnetons per cell

a b c (Å): 5.211 5.211 5.211
angles (deg): 90.00 90.00 90.00
Sites, in units of the cell vectors:
Ca (0.000, 0.000, 0.000)
As (0.500, 0.000, 0.000)
As (0.000, 0.500, 0.000)
As (0.000, 0.000, 0.500)
Mg (0.500, 0.500, 0.500)


Entry 2:
This record from Alexandria via LeMat-Bulk describes a crystal of Ca3Mg2As3O12 relaxed with PBEsol. The functional is SCAN.

## Properties
Formation energy without anion corrections   -2.416 eV per atom
Electronic total energy   -11.13 eV/atom
Spin magnetization   0.00 Bohr magnetons per cell

a b c (Å): 10.783 10.783 10.783
angles (deg): 109.47 109.47 109.47
Sites, in units of the cell vectors:
O (0.913, 0.603, 0.621)
O (0.482, 0.190, 0.103)
O (0.018, 0.121, 0.708)
O (0.982, 0.103, 0.190)
O (0.103, 0.690, 0.482)
O (0.103, 0.413, 0.121)
O (0.413, 0.792, 0.310)
O (0.190, 0.603, 0.982)
O (0.982, 0.879, 0.292)
O (0.621, 0.518, 0.208)
O (0.087, 0.397, 0.379)
O (0.397, 0.518, 0.310)
O (0.690, 0.982, 0.603)
O (0.708, 0.087, 0.190)
O (0.208, 0.018, 0.621)
O (0.310, 0.292, 0.413)
O (0.810, 0.397, 0.018)
O (0.379, 0.482, 0.792)
O (0.587, 0.379, 0.397)
O (0.121, 0.208, 0.518)
O (0.879, 0.087, 0.897)
O (0.708, 0.621, 0.018)
O (0.792, 0.982, 0.379)
O (0.310, 0.018, 0.397)
O (0.897, 0.587, 0.879)
O (0.413, 0.621, 0.603)
O (0.879, 0.792, 0.482)
O (0.208, 0.190, 0.087)
O (0.379, 0.897, 0.087)
O (0.292, 0.379, 0.982)
O (0.621, 0.103, 0.913)
O (0.121, 0.913, 0.103)
O (0.587, 0.208, 0.690)
O (0.690, 0.708, 0.587)
O (0.482, 0.292, 0.879)
O (0.792, 0.810, 0.913)
O (0.190, 0.587, 0.708)
O (0.603, 0.121, 0.413)
O (0.810, 0.413, 0.292)
O (0.397, 0.879, 0.587)
O (0.087, 0.690, 0.208)
O (0.018, 0.897, 0.810)
O (0.292, 0.913, 0.810)
O (0.603, 0.482, 0.690)
O (0.913, 0.310, 0.792)
O (0.518, 0.708, 0.121)
O (0.897, 0.310, 0.518)
O (0.518, 0.810, 0.897)
Ca (0.750, 0.875, 0.125)
Ca (0.750, 0.375, 0.625)
Ca (0.875, 0.625, 0.250)
Ca (0.250, 0.625, 0.375)
Ca (0.250, 0.125, 0.875)
Ca (0.875, 0.250, 0.125)
Ca (0.625, 0.875, 0.750)
Ca (0.375, 0.125, 0.250)
Ca (0.625, 0.750, 0.375)
Ca (0.125, 0.375, 0.750)
Ca (0.375, 0.250, 0.625)
Ca (0.125, 0.750, 0.875)
As (0.625, 0.250, 0.875)
As (0.750, 0.125, 0.375)
As (0.875, 0.125, 0.750)
As (0.875, 0.750, 0.625)
As (0.750, 0.625, 0.875)
As (0.375, 0.625, 0.750)
As (0.250, 0.875, 0.625)
As (0.625, 0.375, 0.250)
As (0.125, 0.250, 0.375)
As (0.375, 0.750, 0.125)
As (0.250, 0.375, 0.125)
As (0.125, 0.875, 0.250)
Mg (0.000, 0.500, 0.500)
Mg (0.000, 0.000, 0.500)
Mg (0.500, 0.000, 0.500)
Mg (0.500, 0.500, 0.500)
Mg (0.000, 0.000, 0.000)
Mg (0.000, 0.500, 0.000)
Mg (0.500, 0.500, 0.000)
Mg (0.500, 0.000, 0.000)


Entry 3:
This record from Alexandria via LeMat-Bulk describes a crystal of CaMg2AsW relaxed with PBEsol. The functional is SCAN.

## Properties
Electronic total energy   -21.37 eV/atom
Spin magnetization   0.37 Bohr magnetons per cell

a b c (Å): 4.761 5.015 5.015
angles (deg): 90.00 90.00 90.00
Site moments in Bohr magnetons follow the coordinates.
Sites, in units of the cell vectors:
W (0.500, 0.000, 0.000)  -0.23
Mg (0.000, 0.000, 0.500)  0.00
Mg (0.000, 0.500, 0.000)  0.00
Ca (0.500, 0.500, 0.500)  -0.01
As (0.000, 0.000, 0.000)  0.00


Entry 4:
This record from Alexandria via LeMat-Bulk describes a crystal of CaMnAs2 relaxed with PBEsol. The functional is SCAN.

## Properties
Electronic total energy   -17.54 eV/atom
Spin magnetization   3.55 Bohr magnetons per cell

a b c (Å): 4.753 4.753 4.753
angles (deg): 60.00 60.00 60.00
Site moments in Bohr magnetons follow the coordinates.
Sites, in units of the cell vectors:
As (0.250, 0.250, 0.250)  -0.27
As (0.750, 0.750, 0.750)  -0.27
Ca (0.500, 0.500, 0.500)  0.00
Mn (0.000, 0.000, 0.000)  4.14


Entry 5:
This record from Alexandria via LeMat-Bulk describes a crystal of CaMn2As2 relaxed with PBEsol. The functional is SCAN.

## Properties
Electronic total energy   -17.99 eV/atom
Spin magnetization   6.12 Bohr magnetons per cell

a b c (Å): 3.889 3.889 6.919
angles (deg): 90.00 90.00 120.00
Site moments in Bohr magnetons follow the coordinates.
Sites, in units of the cell vectors:
As (0.667, 0.333, 0.272)  -0.16
As (0.333, 0.667, 0.728)  -0.16
Mn (0.333, 0.667, 0.387)  3.06
Mn (0.667, 0.333, 0.613)  3.06
Ca (0.000, 0.000, 0.000)  0.03


Entry 6:
This record from Alexandria via LeMat-Bulk describes a crystal of CaMn2As relaxed with PBEsol. The functional is SCAN.

## Properties
Electronic total energy   -16.98 eV/atom
Spin magnetization   0.43 Bohr magnetons per cell

a b c (Å): 3.896 3.896 5.777
angles (deg): 70.29 70.29 60.00
Site moments in Bohr magnetons follow the coordinates.
Sites, in units of the cell vectors:
As (0.459, 0.459, 0.622)  0.00
Mn (0.739, 0.739, 0.784)  -2.90
Mn (0.050, 0.050, 0.849)  2.63
Ca (0.252, 0.252, 0.245)  -0.03


Entry 7:
This record from Alexandria via LeMat-Bulk describes a crystal of CaMn2As relaxed with PBEsol. The functional is SCAN.

## Properties
Electronic total energy   -16.83 eV/atom
Spin magnetization   7.20 Bohr magnetons per cell

a b c (Å): 3.295 3.900 5.891
angles (deg): 90.00 106.59 90.00
Site moments in Bohr magnetons follow the coordinates.
Sites, in units of the cell vectors:
Ca (0.299, 0.500, 0.715)  -0.01
As (0.663, 0.000, 0.448)  -0.13
Mn (0.997, 0.000, 0.124)  3.66
Mn (0.541, 0.500, 0.213)  3.53


Entry 8:
This record from Alexandria via LeMat-Bulk describes a crystal of CaMn2As relaxed with PBEsol. The functional is SCAN.

## Properties
Electronic total energy   -16.68 eV/atom
Spin magnetization   0.00 Bohr magnetons per cell

a b c (Å): 4.046 4.046 5.680
angles (deg): 69.13 69.13 60.00
Sites, in units of the cell vectors:
Mn (0.823, 0.823, 0.532)
Mn (0.177, 0.177, 0.468)
Ca (0.000, 0.000, 0.000)
As (0.500, 0.500, 0.500)